Record 1
The following is a DFT calculation (PBE-GGA) of InHgP2 after structural relaxation.

Lattice parameters (Å, degrees): 9.6783 9.6783 9.6783 19.84 19.84 19.84
Atoms (fractional coordinates):
In 0.0000 0.0000 0.0000
Hg 0.2376 0.2376 0.2376
P 0.4740 0.4740 0.4740
P 0.7644 0.7644 0.7644

Values from the calculation:
Excess energy over the best structure of this formula in the dataset, eV per atom: 0.000
E_tot, eV/atom: -3.41

Record 2
The following is a DFT calculation (PBE-GGA) of InHg2P2 after structural relaxation.

Lattice parameters (Å, degrees): 6.8357 6.8357 6.8357 142.48 142.48 54.11
Atoms (fractional coordinates):
In 0.0000 0.0000 0.0000
Hg 0.3852 0.3852 0.0000
Hg 0.6148 0.6148 0.0000
P 0.2500 0.7500 0.5000
P 0.7500 0.2500 0.5000

Values from the calculation:
Excess energy over the best structure of this formula in the dataset, eV per atom: 0.205
E_tot, eV/atom: -2.38

Record 3
The following is a DFT calculation (PBE-GGA) of InHg2P after structural relaxation.

Lattice parameters (Å, degrees): 5.1187 5.1187 5.1187 121.08 121.08 88.15
Atoms (fractional coordinates):
In 0.0000 0.0000 0.0000
Hg 0.5000 0.5000 0.0000
Hg 0.7500 0.2500 0.5000
P 0.2500 0.7500 0.5000

Values from the calculation:
Excess energy over the best structure of this formula in the dataset, eV per atom: 0.208
E_tot, eV/atom: -1.90

Record 4
The following is a DFT calculation (PBE-GGA) of InHg2P after structural relaxation.

Lattice parameters (Å, degrees): 6.2608 6.2608 4.1036 108.94 108.94 124.97
Atoms (fractional coordinates):
In 0.0000 0.0000 0.0000
Hg 0.0000 0.5000 0.5000
Hg 0.5000 0.0000 0.5000
P 0.5000 0.5000 0.0000

Values from the calculation:
Excess energy over the best structure of this formula in the dataset, eV per atom: 0.144
E_tot, eV/atom: -1.96

Record 5
The following is a DFT calculation (PBE-GGA) of InHgP2 after structural relaxation.

Lattice parameters (Å, degrees): 4.8003 4.8003 4.4260 107.23 107.23 106.73
Atoms (fractional coordinates):
In 0.0000 0.0000 0.0000
Hg 0.5000 0.5000 0.0000
P 0.0000 0.5000 0.5000
P 0.5000 0.0000 0.5000

Values from the calculation:
Excess energy over the best structure of this formula in the dataset, eV per atom: 0.286
E_tot, eV/atom: -3.12

Record 6
The following is a DFT calculation (PBE-GGA) of InHgP2 after structural relaxation.

Lattice parameters (Å, degrees): 3.5047 3.5047 7.5525 90.00 90.00 112.19
Atoms (fractional coordinates):
In 0.0000 0.0000 0.0000
Hg 0.0000 0.0000 0.5000
P 0.5000 0.5000 0.2474
P 0.5000 0.5000 0.7526

Values from the calculation:
Excess energy over the best structure of this formula in the dataset, eV per atom: 0.450
E_tot, eV/atom: -2.96

Repeat the first record exactly.
The following is a DFT calculation (PBE-GGA) of InHgP2 after structural relaxation.

Lattice parameters (Å, degrees): 9.6783 9.6783 9.6783 19.84 19.84 19.84
Atoms (fractional coordinates):
In 0.0000 0.0000 0.0000
Hg 0.2376 0.2376 0.2376
P 0.4740 0.4740 0.4740
P 0.7644 0.7644 0.7644

Values from the calculation:
Excess energy over the best structure of this formula in the dataset, eV per atom: 0.000
E_tot, eV/atom: -3.41

> What is the excess energy over the best structure of this formula in the dataset in the first record?

0.000 eV per atom

> Look up the E_tot of the second one.

-2.38 eV/atom

> Look up the excess energy over the best structure of this formula in the dataset of the third one.

0.208 eV per atom